Compound: NbPbF3
Source: Alexandria
Functional: GGA-PBE
Structure: optimized geometry

Values from the calculation:
V   85.8 Å³/f.u.
Total energy   -5.4849 eV per atom

Cell and atoms, written as CIF:
```
data_NbPbF3
_chemical_formula_sum 'Nb1 Pb1 F3'
_cell_length_a 4.4099
_cell_length_b 4.4099
_cell_length_c 4.4099
_cell_angle_alpha 90.00
_cell_angle_beta 90.00
_cell_angle_gamma 90.00
_space_group_name_H-M_alt 'P m -3 m'
_space_group_IT_number 221
_space_group_name_Hall '-P 4 2 3'
loop_
_atom_site_label
_atom_site_type_symbol
_atom_site_fract_x
_atom_site_fract_y
_atom_site_fract_z
Nb1 Nb 0.0000 0.0000 0.0000
Pb1 Pb 0.5000 0.5000 0.5000
F1 F 0.0000 0.0000 0.5000
```



Compound: La2NbTc2
Source: Alexandria
Functional: GGA-PBE
Structure: optimized geometry

Values from the calculation:
V   116.1 Å³/f.u.
Total energy   -7.9624 eV per atom
DFT formation energy   0.845 eV per formula unit

Cell and atoms, written as CIF:
```
data_La2NbTc2
_chemical_formula_sum 'La4 Nb2 Tc4'
_cell_length_a 6.7316
_cell_length_b 6.7316
_cell_length_c 5.1248
_cell_angle_alpha 90.00
_cell_angle_beta 90.00
_cell_angle_gamma 90.00
_space_group_name_H-M_alt 'P 4/m b m'
_space_group_IT_number 127
_space_group_name_Hall '-P 4 2ab'
loop_
_atom_site_label
_atom_site_type_symbol
_atom_site_fract_x
_atom_site_fract_y
_atom_site_fract_z
La1 La 0.1783 0.3217 0.0000
Nb1 Nb 0.0000 0.0000 0.5000
Tc1 Tc 0.1286 0.6286 0.5000
```



Compound: Re2TcBr
Source: Alexandria
Functional: GGA-PBE
Structure: optimized geometry

Values from the calculation:
V   62.0 Å³/f.u.
Total energy   -8.0928 eV per atom

Cell and atoms, written as CIF:
```
data_Re2TcBr
_chemical_formula_sum 'Re2 Tc1 Br1'
_cell_length_a 4.5822
_cell_length_b 4.5822
_cell_length_c 2.9526
_cell_angle_alpha 90.00
_cell_angle_beta 90.00
_cell_angle_gamma 90.00
_space_group_name_H-M_alt 'P 4/m m m'
_space_group_IT_number 123
_space_group_name_Hall '-P 4 2'
loop_
_atom_site_label
_atom_site_type_symbol
_atom_site_fract_x
_atom_site_fract_y
_atom_site_fract_z
Re1 Re 0.0000 0.5000 0.0000
Tc1 Tc 0.0000 0.0000 0.5000
Br1 Br 0.5000 0.5000 0.5000
```